Na2YNiF8: relaxed, PBE with a Hubbard U.

Unit cell a=4.816 b=5.276 c=6.706 alpha=90.02 beta=89.98 gamma=91.29
Fractional coordinates of all 12 atoms:
Na1 0.500 0.500 0.764
Na2 0.500 0.500 0.236
F1 0.820 0.178 0.224
F2 0.180 0.822 0.776
F3 0.681 0.712 0.500
F4 0.180 0.822 0.224
F5 0.319 0.288 0.500
F6 0.820 0.178 0.776
F7 0.728 0.748 0.000
F8 0.272 0.252 0.000
Ni1 0.000 0.000 0.000
Y1 0.000 0.000 0.500

Summary:
SG   P2/m, No. 10
Raw total energy   -0.372 Ry/atom
N(E_F)   0.000 states/eV/cell